Record 1
A relaxed structure of NiRu4. Source: the Alexandria database, functional PBE-GGA.

Values from the calculation:
Relative energy among the computed polymorphs in meV/atom: 0
ρ in kg/m³: 11444
DFT total energy in eV per atom: -8.464
ΔE_f in eV/atom: 0.113

a = 5.988 Å, b = 5.988 Å, c = 3.748 Å
α = 90.00°, β = 90.00°, γ = 90.00°
Space group I4/m (No. 87)
One atom of each set of equivalent atoms:
Ni 0.000 0.000 0.000 x2
Ru 0.093 0.296 0.500 x8

---

Record 2
A relaxed structure of NiRu. Source: the Alexandria database, functional PBE-GGA.

Values from the calculation:
ρ in kg/m³: 10669
DFT total energy in eV per atom: -7.454
ΔE_f in eV/atom: 0.075

a = 4.589 Å, b = 4.191 Å, c = 5.172 Å
α = 90.00°, β = 90.00°, γ = 90.00°
Space group Pnma (No. 62)
One atom of each set of equivalent atoms:
Ni 0.086 0.250 0.122 x4
Ru 0.089 0.250 0.627 x4

---

Record 3
A relaxed structure of Ni5Ru3. Source: the Alexandria database, functional PBE-GGA.

Values from the calculation:
Relative energy among the computed polymorphs in meV/atom: 0
ρ in kg/m³: 10243
DFT total energy in eV per atom: -7.008
ΔE_f in eV/atom: 0.084

a = 9.778 Å, b = 9.002 Å, c = 4.905 Å
α = 90.00°, β = 116.33°, γ = 90.00°
Space group C2/c (No. 15)
One atom of each set of equivalent atoms:
Ni 0.000 0.042 0.250 x4
Ni 0.124 0.289 0.494 x8
Ni 0.248 0.042 0.745 x8
Ru 0.000 0.455 0.750 x4
Ru 0.126 0.204 0.996 x8

---

Record 4
A relaxed structure of Ni2Ru3. Source: the Alexandria database, functional PBE-GGA.

Values from the calculation:
Relative energy among the computed polymorphs in meV/atom: 0
ρ in kg/m³: 10753
DFT total energy in eV per atom: -7.693
ΔE_f in eV/atom: 0.185

a = 2.6587 Å, b = 2.6587 Å, c = 31.8292 Å
α = 90.00°, β = 90.00°, γ = 120.00°
Space group R-3m (No. 166, hexagonal axes)
One atom of each set of equivalent atoms:
Ni 0.0000 0.0000 0.1009 x6
Ru 0.0000 0.0000 0.2999 x6
Ru 0.0000 0.0000 0.5000 x3

---

Record 5
A relaxed structure of NiRu. Source: the Alexandria database, functional PBE-GGA.

Values from the calculation:
ρ in kg/m³: 9203
DFT total energy in eV per atom: -6.708
ΔE_f in eV/atom: 0.821

a = 3.7481 Å, b = 3.7481 Å, c = 4.7388 Å
α = 90.00°, β = 90.00°, γ = 120.00°
Space group P6_3/mmc (No. 194)
One atom of each set of equivalent atoms:
Ni 0.0000 0.0000 0.0000 x2
Ru 0.3333 0.6667 0.2500 x2

---

Record 6
A relaxed structure of Ni2Ru. Source: the Alexandria database, functional PBE-GGA.

Values from the calculation:
ρ in kg/m³: 10137
DFT total energy in eV per atom: -6.856
ΔE_f in eV/atom: 0.090

a = 3.617 Å, b = 10.924 Å, c = 3.623 Å
α = 90.00°, β = 90.00°, γ = 90.00°
Space group Cmcm (No. 63)
One atom of each set of equivalent atoms:
Ni 0.000 0.084 0.250 x4
Ni 0.000 0.247 0.750 x4
Ru 0.000 0.417 0.250 x4

---

Record 7
A relaxed structure of NiRu. Source: the Alexandria database, functional PBE-GGA.

Values from the calculation:
ρ in kg/m³: 9882
DFT total energy in eV per atom: -7.186
ΔE_f in eV/atom: 0.343

a = 3.915 Å, b = 7.443 Å, c = 14.739 Å
α = 90.00°, β = 90.00°, γ = 90.00°
Space group Fddd (No. 70, origin choice 2)
One atom of each set of equivalent atoms:
Ni 0.125 0.286 0.125 x16
Ru 0.125 0.125 0.541 x16

---

Record 8
A relaxed structure of Ni2Ru. Source: the Alexandria database, functional PBE-GGA.

Values from the calculation:
ρ in kg/m³: 10049
DFT total energy in eV per atom: -6.799
ΔE_f in eV/atom: 0.148

a = 2.607 Å, b = 13.338 Å, c = 4.153 Å
α = 90.00°, β = 90.00°, γ = 90.00°
Space group Cmcm (No. 63)
One atom of each set of equivalent atoms:
Ni 0.000 0.055 0.250 x4
Ni 0.000 0.277 0.750 x4
Ru 0.000 0.388 0.250 x4

---

Record 9
A relaxed structure of Ni3Ru. Source: the Alexandria database, functional PBE-GGA.

Values from the calculation:
ρ in kg/m³: 9678
DFT total energy in eV per atom: -6.428
ΔE_f in eV/atom: 0.226

a = 5.751 Å, b = 5.751 Å, c = 5.751 Å
α = 90.00°, β = 90.00°, γ = 90.00°
Space group Fm-3m (No. 225)
One atom of each set of equivalent atoms:
Ni 0.000 0.000 0.000 x4
Ni 0.250 0.250 0.250 x8
Ru 0.000 0.000 0.500 x4

---

Record 10
A relaxed structure of Ni2Ru. Source: the Alexandria database, functional PBE-GGA.

Values from the calculation:
ρ in kg/m³: 9981
DFT total energy in eV per atom: -6.810
ΔE_f in eV/atom: 0.136

a = 2.6028 Å, b = 2.6028 Å, c = 6.1949 Å
α = 90.00°, β = 90.00°, γ = 120.00°
Space group P-3m1 (No. 164)
One atom of each set of equivalent atoms:
Ni 0.3333 0.6667 0.1629 x2
Ru 0.0000 0.0000 0.5000 x1

---

Record 11
A relaxed structure of NiRu. Source: the Alexandria database, functional PBE-GGA.

Values from the calculation:
ρ in kg/m³: 9802
DFT total energy in eV per atom: -7.054
ΔE_f in eV/atom: 0.474

a = 9.063 Å, b = 9.063 Å, c = 2.636 Å
α = 90.00°, β = 90.00°, γ = 90.00°
Space group I4/m (No. 87)
One atom of each set of equivalent atoms:
Ni 0.091 0.840 0.000 x8
Ru 0.103 0.356 0.000 x8

---

Record 12
A relaxed structure of Ni3Ru. Source: the Alexandria database, functional PBE-GGA.

Values from the calculation:
ρ in kg/m³: 9785
DFT total energy in eV per atom: -6.546
ΔE_f in eV/atom: 0.109

a = 4.156 Å, b = 5.106 Å, c = 4.433 Å
α = 90.00°, β = 90.00°, γ = 90.00°
Space group Pmmn (No. 59, origin choice 2)
One atom of each set of equivalent atoms:
Ni 0.250 0.001 0.162 x4
Ni 0.250 0.750 0.668 x2
Ru 0.250 0.250 0.662 x2